# Cs3Au2Br

An optimized crystal structure of Cs3Au2Br (PBE, Alexandria).

a b c (Å): 5.2223 7.3846 9.0708
angles (deg): 114.02 106.73 90.00
With the nearest neighbours (Å) after each atom.
Atoms (fractional coordinates):
Au1 0.1666 0.1666 0.8332  6 Cs 3.69-3.72
Au2 0.8334 0.8334 0.1668  6 Cs 3.69-3.72
Br1 0.5000 0.5000 0.5000  6 Cs 3.68-3.69
Cs1 0.1645 0.6645 0.8290  2 Br 3.68, 4 Au 3.69-3.72
Cs2 0.8355 0.3355 0.1710  2 Br 3.68, 4 Au 3.69-3.72
Cs3 0.5000 0.0000 0.5000  2 Br 3.69, 4 Au 3.70

ΔE_f (raw) in kJ/mol of atoms: -77.9
Energy relative to the lowest polymorph listed for this composition in meV per atom: 0.0
SG: Immm
Crystal system: orthorhombic
Uncorrected energy in eV/atom: -2.61